Density functional theory data (PBE) for crystalline Sr5PuAs5 at its relaxed geometry.

Cell lengths 7.7784, 7.7784, 8.8005 Å; angles 106.94, 106.94, 46.55 degrees
Last column: nearest neighbours and their distance in Å.
Sites, in units of the cell vectors:
Sr: 0.0000 0.0000 0.0000  4 As 3.02-3.13
Sr: 0.3118 0.3118 0.1764  5 As 3.11-3.25
Sr: 0.3232 0.3232 0.6456  5 As 3.09-3.21
Sr: 0.6768 0.6768 0.3544  5 As 3.09-3.21
Sr: 0.6882 0.6882 0.8236  5 As 3.11-3.25
Pu: 0.0000 0.0000 0.5000  6 As 2.87-3.07
As: 0.1443 0.1443 0.3357  1 Pu 2.87, 5 Sr 3.02-3.13
As: 0.1547 0.1547 0.8158  1 Pu 2.95, 5 Sr 3.11-3.25
As: 0.5000 0.5000 0.5000  2 Pu 3.07, 4 Sr 3.18-3.24
As: 0.8453 0.8453 0.1842  1 Pu 2.95, 5 Sr 3.11-3.25
As: 0.8557 0.8557 0.6643  1 Pu 2.87, 5 Sr 3.02-3.13

Values from the calculation:
- Calculated formation energy: -987 meV/atom
- SG: No. 12
- DOS at the Fermi energy: 11.80 states/eV/cell
- Crystal system: monoclinic

Density functional theory data (PBE) for crystalline SrLiEu2 at its relaxed geometry.

Cell lengths 4.0245, 4.0245, 10.1144 Å; angles 90.00, 90.00, 90.00 degrees
Last column: nearest neighbours and their distance in Å.
Sites, in units of the cell vectors:
Sr: 0.0000 0.0000 0.0000  4 Sr 4.02, 8 Eu 4.17
Li: 0.0000 0.0000 0.5000  8 Eu 3.49
Eu: 0.5000 0.5000 0.3007  4 Li 3.49
Eu: 0.5000 0.5000 0.6993  4 Li 3.49

Values from the calculation:
- Calculated formation energy: 51 meV/atom
- SG: No. 123
- DOS at the Fermi energy: 18.70 states/eV/cell
- Energy above the most stable polymorph in this dataset: 0 meV/atom
- Crystal system: tetragonal

Density functional theory data (PBE) for crystalline Dy4Ho2Sc5 at its relaxed geometry.

Cell lengths 11.4357, 11.4357, 8.3803 Å; angles 93.03, 93.03, 16.87 degrees
Last column: nearest neighbours and their distance in Å.
Sites, in units of the cell vectors:
Dy: 0.0457 0.0457 0.3370  4 Sc 3.24-3.40, 3 Dy 3.36-3.51, 4 Ho 3.45-3.53
Dy: 0.2718 0.2718 0.1773  6 Sc 3.24-3.41, 1 Ho 3.30, 4 Dy 3.36-3.51
Dy: 0.7282 0.7282 0.8227  6 Sc 3.24-3.41, 1 Ho 3.30, 4 Dy 3.36-3.51
Dy: 0.9543 0.9543 0.6630  4 Sc 3.24-3.40, 3 Dy 3.36-3.51, 4 Ho 3.45-3.53
Ho: 0.4123 0.4123 0.3036  5 Dy 3.30-3.53, 5 Sc 3.31-3.42, 2 Ho 3.36
Ho: 0.5877 0.5877 0.6964  5 Dy 3.30-3.53, 5 Sc 3.31-3.42, 2 Ho 3.36
Sc: 0.1288 0.1288 0.0344  4 Dy 3.24-3.39, 4 Sc 3.36, 2 Ho 3.38
Sc: 0.1880 0.1880 0.4791  4 Dy 3.24-3.41, 4 Sc 3.27-3.36, 2 Ho 3.42
Sc: 0.5000 0.5000 0.0000  2 Ho 3.31, 6 Sc 3.36, 4 Dy 3.40
Sc: 0.8120 0.8120 0.5209  4 Dy 3.24-3.41, 4 Sc 3.27-3.36, 2 Ho 3.42
Sc: 0.8712 0.8712 0.9656  4 Dy 3.24-3.39, 4 Sc 3.36, 2 Ho 3.38

Values from the calculation:
- Calculated formation energy: 142 meV/atom
- SG: No. 12
- DOS at the Fermi energy: 18.53 states/eV/cell
- Energy above the most stable polymorph in this dataset: 90 meV/atom
- Crystal system: monoclinic

Density functional theory data (PBE) for crystalline AcGe2W at its relaxed geometry.

Cell lengths 3.4170, 3.4170, 7.1731 Å; angles 90.00, 90.00, 90.00 degrees
Last column: nearest neighbours and their distance in Å.
Sites, in units of the cell vectors:
Ac: 0.0000 0.0000 0.0000  8 Ge 3.30, 4 Ac 3.42, 2 W 3.59
Ge: 0.5000 0.5000 0.3133  1 Ge 2.68, 4 W 2.76
Ge: 0.5000 0.5000 0.6867  1 Ge 2.68, 4 W 2.76
W: 0.0000 0.0000 0.5000  8 Ge 2.76

Values from the calculation:
- Calculated formation energy: 12 meV/atom
- SG: No. 123
- DOS at the Fermi energy: 2.77 states/eV/cell
- Energy above the most stable polymorph in this dataset: 0 meV/atom
- Crystal system: tetragonal

Density functional theory data (PBE) for crystalline CaEuTm4 at its relaxed geometry.

Cell lengths 6.6963, 6.6963, 6.6963 Å; angles 60.00, 60.00, 60.00 degrees
Last column: nearest neighbours and their distance in Å.
Sites, in units of the cell vectors:
Ca: 0.0000 0.0000 0.0000  12 Tm 3.93, 4 Eu 4.10
Eu: 0.7500 0.7500 0.7500  12 Tm 3.93, 4 Ca 4.10
Tm: 0.3749 0.3749 0.3749  6 Tm 3.35
Tm: 0.3749 0.3749 0.8752  6 Tm 3.35
Tm: 0.3749 0.8752 0.3749  6 Tm 3.35
Tm: 0.8752 0.3749 0.3749  6 Tm 3.35

Values from the calculation:
- Calculated formation energy: 206 meV/atom
- SG: No. 216
- DOS at the Fermi energy: 12.63 states/eV/cell
- Crystal system: cubic

Density functional theory data (PBE) for crystalline BaTeAs at its relaxed geometry.

Cell lengths 5.0397, 5.0397, 4.5257 Å; angles 90.00, 90.00, 120.00 degrees
Last column: nearest neighbours and their distance in Å.
Sites, in units of the cell vectors:
Ba: 0.0000 0.0000 0.0000  6 As 3.69, 6 Te 3.69
Te: 0.6667 0.3333 0.5000  3 As 2.91
As: 0.3333 0.6667 0.5000  3 Te 2.91

Values from the calculation:
- SG: No. 187
- Uncorrected formation energy: -0.761 eV per atom
- DOS at the Fermi energy: 1.98 states/eV/cell
- Crystal system: hexagonal

Density functional theory data (PBE) for crystalline ScSi2W at its relaxed geometry.

Cell lengths 4.6287, 4.6287, 4.6287 Å; angles 126.35, 126.35, 79.31 degrees
Last column: nearest neighbours and their distance in Å.
Sites, in units of the cell vectors:
Sc: 0.0000 0.0000 0.0000  8 Si 2.75, 4 W 2.95
Si: 0.2500 0.7500 0.5000  4 W 2.75, 4 Sc 2.75, 4 Si 2.95
Si: 0.7500 0.2500 0.5000  4 W 2.75, 4 Sc 2.75, 4 Si 2.95
W: 0.5000 0.5000 0.0000  8 Si 2.75, 4 Sc 2.95

Values from the calculation:
- SG: No. 139
- Uncorrected formation energy: -0.155 eV per atom
- DOS at the Fermi energy: 2.95 states/eV/cell
- Energy above the most stable polymorph in this dataset: 229 meV/atom
- Crystal system: tetragonal

Density functional theory data (PBE) for crystalline TlMoP2 at its relaxed geometry.

Cell lengths 4.6248, 4.6248, 3.3140 Å; angles 90.00, 90.00, 103.83 degrees
Last column: nearest neighbours and their distance in Å.
Sites, in units of the cell vectors:
Tl: 0.0000 0.0000 0.0000  8 P 2.84, 2 Mo 2.85
Mo: 0.5000 0.5000 0.0000  8 P 2.84, 2 Tl 2.85
P: 0.0000 0.5000 0.5000  4 Tl 2.84, 4 Mo 2.84, 2 P 2.85
P: 0.5000 0.0000 0.5000  4 Tl 2.84, 4 Mo 2.84, 2 P 2.85

Values from the calculation:
- Calculated formation energy: 674 meV/atom
- SG: No. 65
- DOS at the Fermi energy: 2.58 states/eV/cell
- Energy above the most stable polymorph in this dataset: 763 meV/atom
- Crystal system: orthorhombic

Density functional theory data (PBE) for crystalline TcSbOs2 at its relaxed geometry.

Cell lengths 4.0229, 4.0229, 3.9436 Å; angles 90.00, 90.00, 90.00 degrees
Last column: nearest neighbours and their distance in Å.
Sites, in units of the cell vectors:
Tc: 0.0000 0.0000 0.0000  8 Os 2.82, 4 Sb 2.84
Sb: 0.5000 0.5000 0.0000  8 Os 2.82, 4 Tc 2.84
Os: 0.0000 0.5000 0.5000  4 Sb 2.82, 4 Tc 2.82, 4 Os 2.84
Os: 0.5000 0.0000 0.5000  4 Sb 2.82, 4 Tc 2.82, 4 Os 2.84

Values from the calculation:
- SG: No. 123
- Uncorrected formation energy: 0.637 eV per atom
- DOS at the Fermi energy: 6.25 states/eV/cell
- Crystal system: tetragonal

Density functional theory data (PBE) for crystalline NbC at its relaxed geometry.

Cell lengths 5.9508, 5.9508, 5.9508 Å; angles 90.00, 90.00, 90.00 degrees
Last column: nearest neighbours and their distance in Å.
Sites, in units of the cell vectors:
Nb: 0.0000 0.2500 0.5000  4 C 2.10
Nb: 0.0000 0.7500 0.5000  4 C 2.10
Nb: 0.2500 0.5000 0.0000  4 C 2.10
Nb: 0.5000 0.0000 0.2500  4 C 2.10
Nb: 0.5000 0.0000 0.7500  4 C 2.10
Nb: 0.7500 0.5000 0.0000  4 C 2.10
C: 0.0000 0.5000 0.2500  4 Nb 2.10
C: 0.0000 0.5000 0.7500  4 Nb 2.10
C: 0.2500 0.0000 0.5000  4 Nb 2.10
C: 0.5000 0.2500 0.0000  4 Nb 2.10
C: 0.5000 0.7500 0.0000  4 Nb 2.10
C: 0.7500 0.0000 0.5000  4 Nb 2.10

Values from the calculation:
- Calculated formation energy: 245 meV/atom
- SG: No. 223
- DOS at the Fermi energy: 9.37 states/eV/cell
- Energy above the most stable polymorph in this dataset: 717 meV/atom
- Crystal system: cubic

Density functional theory data (PBE) for crystalline MgCuGeAu at its relaxed geometry.

Cell lengths 4.5550, 4.5550, 4.5550 Å; angles 60.00, 60.00, 60.00 degrees
Last column: nearest neighbours and their distance in Å.
Sites, in units of the cell vectors:
Mg: 0.0000 0.0000 0.0000  4 Cu 2.79, 4 Au 2.79
Cu: 0.7500 0.7500 0.7500  4 Ge 2.79, 4 Mg 2.79
Ge: 0.5000 0.5000 0.5000  4 Cu 2.79, 4 Au 2.79
Au: 0.2500 0.2500 0.2500  4 Ge 2.79, 4 Mg 2.79

Values from the calculation:
- Calculated formation energy: -105 meV/atom
- SG: No. 216
- DOS at the Fermi energy: 1.30 states/eV/cell
- Crystal system: cubic

Density functional theory data (PBE) for crystalline Ba2ZnGa4Pd3 at its relaxed geometry.

Cell lengths 4.5337, 4.5337, 10.7124 Å; angles 90.00, 90.00, 90.00 degrees
Last column: nearest neighbours and their distance in Å.
Sites, in units of the cell vectors:
Ba: 0.0000 0.5000 0.2489  8 Ga 3.48-3.52, 6 Pd 3.49-3.50, 2 Zn 3.50
Ba: 0.5000 0.0000 0.7511  8 Ga 3.48-3.52, 6 Pd 3.49-3.50, 2 Zn 3.50
Zn: 0.5000 0.5000 0.0000  4 Ga 2.62
Ga: 0.0000 0.0000 0.5000  4 Pd 2.62
Ga: 0.0000 0.5000 0.8777  3 Pd 2.62-2.72, 2 Zn 2.62
Ga: 0.5000 0.0000 0.1223  3 Pd 2.62-2.72, 2 Zn 2.62
Ga: 0.5000 0.5000 0.5000  4 Pd 2.62
Pd: 0.0000 0.0000 0.0000  4 Ga 2.62
Pd: 0.0000 0.5000 0.6235  5 Ga 2.62-2.72
Pd: 0.5000 0.0000 0.3765  5 Ga 2.62-2.72

Values from the calculation:
- Calculated formation energy: -573 meV/atom
- SG: No. 115
- DOS at the Fermi energy: 5.62 states/eV/cell
- Crystal system: tetragonal